No. 1
A relaxed In4Ag crystal, computed with PBE-GGA.

Values from the calculation:
Magnetic moment ... 0.000 μB per formula unit
Energy relative to the elements ... 0.042 eV per atom
ρ ... 7.6 g cm⁻³

Structure (CIF):
```
data_In4Ag
_cell_length_a 7.211
_cell_length_b 7.211
_cell_length_c 4.748
_cell_angle_alpha 90.00
_cell_angle_beta 90.00
_cell_angle_gamma 90.00
_symmetry_space_group_name_H-M 'I 4/m'
_symmetry_Int_Tables_number 87
_symmetry_space_group_name_Hall '-I 4'
loop_
_atom_site_label
_atom_site_type_symbol
_atom_site_fract_x
_atom_site_fract_y
_atom_site_fract_z
In1 In 0.111 0.300 0.000
Ag1 Ag 0.000 0.000 0.500
```

No. 2
A relaxed TbErBr3 crystal, computed with PBE-GGA.

Values from the calculation:
Magnetic moment ... 0.000 μB per formula unit
ρ ... 5.6 g cm⁻³
Energy relative to the elements, uncorrected ... -1.49 eV per atom

Structure (CIF):
```
data_TbErBr3
_cell_length_a 18.513
_cell_length_b 3.883
_cell_length_c 11.458
_cell_angle_alpha 90.00
_cell_angle_beta 124.91
_cell_angle_gamma 90.00
_symmetry_space_group_name_H-M 'C 1 2/m 1'
_symmetry_Int_Tables_number 12
_symmetry_space_group_name_Hall '-C 2y'
loop_
_atom_site_label
_atom_site_type_symbol
_atom_site_fract_x
_atom_site_fract_y
_atom_site_fract_z
Tb1 Tb 0.136 0.000 0.284
Er1 Er 0.070 0.500 0.959
Br1 Br 0.031 0.000 0.744
Br2 Br 0.168 0.500 0.507
Br3 Br 0.210 0.000 0.119
```

No. 3
A relaxed TbCo4Pd crystal, computed with PBE-GGA.

Values from the calculation:
Magnetic moment ... 6.570 μB per formula unit
Energy relative to the elements ... -0.147 eV per atom
ρ ... 9.8 g cm⁻³

Structure (CIF):
```
data_TbCo4Pd
_cell_length_a 6.982
_cell_length_b 6.982
_cell_length_c 6.982
_cell_angle_alpha 90.00
_cell_angle_beta 90.00
_cell_angle_gamma 90.00
_symmetry_space_group_name_H-M 'F -4 3 m'
_symmetry_Int_Tables_number 216
_symmetry_space_group_name_Hall 'F -4 2 3'
loop_
_atom_site_label
_atom_site_type_symbol
_atom_site_fract_x
_atom_site_fract_y
_atom_site_fract_z
Tb1 Tb 0.000 0.000 0.000
Co1 Co 0.124 0.124 0.624
Pd1 Pd 0.250 0.250 0.250
```

No. 4
A relaxed Ge5PbBr12 crystal, computed with PBE-GGA.

Values from the calculation:
Magnetic moment ... 0.000 μB per formula unit
ρ ... 4.1 g cm⁻³
Energy relative to the elements, uncorrected ... -0.61 eV per atom

Structure (CIF):
```
data_Ge5PbBr12
_cell_length_a 7.144
_cell_length_b 12.404
_cell_length_c 14.120
_cell_angle_alpha 90.00
_cell_angle_beta 90.05
_cell_angle_gamma 90.00
_symmetry_space_group_name_H-M 'C 1 2/m 1'
_symmetry_Int_Tables_number 12
_symmetry_space_group_name_Hall '-C 2y'
loop_
_atom_site_label
_atom_site_type_symbol
_atom_site_fract_x
_atom_site_fract_y
_atom_site_fract_z
Ge1 Ge 0.000 0.000 0.000
Ge2 Ge 0.000 0.167 0.500
Ge3 Ge 0.000 0.333 0.000
Pb1 Pb 0.000 0.500 0.500
Br1 Br 0.143 0.000 0.618
Br2 Br 0.166 0.167 0.888
Br3 Br 0.166 0.500 0.888
Br4 Br 0.178 0.322 0.618
```

No. 5
A relaxed LaNpTc4 crystal, computed with PBE-GGA.

Values from the calculation:
Magnetic moment ... 3.891 μB per formula unit
Energy relative to the elements ... 0.189 eV per atom
ρ ... 11.3 g cm⁻³

Structure (CIF):
```
data_LaNpTc4
_cell_length_a 7.677
_cell_length_b 7.677
_cell_length_c 7.677
_cell_angle_alpha 90.00
_cell_angle_beta 90.00
_cell_angle_gamma 90.00
_symmetry_space_group_name_H-M 'F -4 3 m'
_symmetry_Int_Tables_number 216
_symmetry_space_group_name_Hall 'F -4 2 3'
loop_
_atom_site_label
_atom_site_type_symbol
_atom_site_fract_x
_atom_site_fract_y
_atom_site_fract_z
La1 La 0.000 0.000 0.000
Np1 Np 0.250 0.250 0.250
Tc1 Tc 0.125 0.125 0.625
```

No. 6
A relaxed AcTbTm4 crystal, computed with PBE-GGA.

Values from the calculation:
Magnetic moment ... 0.000 μB per formula unit
Energy relative to the elements ... 0.108 eV per atom
ρ ... 9.0 g cm⁻³

Structure (CIF):
```
data_AcTbTm4
_cell_length_a 6.939
_cell_length_b 11.321
_cell_length_c 10.020
_cell_angle_alpha 90.00
_cell_angle_beta 91.07
_cell_angle_gamma 90.00
_symmetry_space_group_name_H-M 'C 1 2/c 1'
_symmetry_Int_Tables_number 15
_symmetry_space_group_name_Hall '-C 2yc'
loop_
_atom_site_label
_atom_site_type_symbol
_atom_site_fract_x
_atom_site_fract_y
_atom_site_fract_z
Ac1 Ac 0.000 0.124 0.250
Tb1 Tb 0.000 0.399 0.750
Tm1 Tm 0.200 0.141 0.609
Tm2 Tm 0.200 0.385 0.058
```

No. 7
A relaxed NaLiSbO4 crystal, computed with PBE-GGA.

Values from the calculation:
Magnetic moment ... 1.019 μB per formula unit
ρ ... 3.3 g cm⁻³
Energy relative to the elements, uncorrected ... -1.25 eV per atom

Structure (CIF):
```
data_NaLiSbO4
_cell_length_a 5.378
_cell_length_b 5.378
_cell_length_c 7.488
_cell_angle_alpha 90.00
_cell_angle_beta 90.00
_cell_angle_gamma 90.00
_symmetry_space_group_name_H-M 'I -4'
_symmetry_Int_Tables_number 82
_symmetry_space_group_name_Hall 'I -4'
loop_
_atom_site_label
_atom_site_type_symbol
_atom_site_fract_x
_atom_site_fract_y
_atom_site_fract_z
Na1 Na 0.000 0.000 0.000
Li1 Li 0.000 0.500 0.250
Sb1 Sb 0.000 0.000 0.500
O1 O 0.186 0.761 0.366
```

No. 8
A relaxed Ba2FeRe crystal, computed with PBE-GGA.

Values from the calculation:
Magnetic moment ... 3.564 μB per formula unit
Energy relative to the elements ... 1.540 eV per atom
ρ ... 7.9 g cm⁻³

Structure (CIF):
```
data_Ba2FeRe
_cell_length_a 3.4890
_cell_length_b 3.4890
_cell_length_c 30.7339
_cell_angle_alpha 90.00
_cell_angle_beta 90.00
_cell_angle_gamma 120.00
_symmetry_space_group_name_H-M 'R -3 m'
_symmetry_Int_Tables_number 166
_symmetry_space_group_name_Hall '-R 3 2"'
loop_
_atom_site_label
_atom_site_type_symbol
_atom_site_fract_x
_atom_site_fract_y
_atom_site_fract_z
Ba1 Ba 0.0000 0.0000 0.2472
Fe1 Fe 0.0000 0.0000 0.0000
Re1 Re 0.0000 0.0000 0.5000
```

No. 9
A relaxed AcTb6PrTm2 crystal, computed with PBE-GGA.

Values from the calculation:
Magnetic moment ... 0.000 μB per formula unit
Energy relative to the elements ... 0.130 eV per atom
ρ ... 8.2 g cm⁻³

Structure (CIF):
```
data_AcTb6PrTm2
_cell_length_a 9.303
_cell_length_b 15.193
_cell_length_c 9.607
_cell_angle_alpha 90.00
_cell_angle_beta 95.19
_cell_angle_gamma 90.00
_symmetry_space_group_name_H-M 'C 1 2/c 1'
_symmetry_Int_Tables_number 15
_symmetry_space_group_name_Hall '-C 2yc'
loop_
_atom_site_label
_atom_site_type_symbol
_atom_site_fract_x
_atom_site_fract_y
_atom_site_fract_z
Ac1 Ac 0.000 0.034 0.250
Tb1 Tb 0.065 0.183 0.943
Tb2 Tb 0.097 0.388 0.117
Tb3 Tb 0.215 0.232 0.323
Pr1 Pr 0.000 0.410 0.750
Tm1 Tm 0.245 0.445 0.450
```

No. 10
A relaxed TaSe2I2 crystal, computed with PBE-GGA.

Values from the calculation:
Magnetic moment ... 0.000 μB per formula unit
ρ ... 5.4 g cm⁻³
Energy relative to the elements, uncorrected ... -0.22 eV per atom

Structure (CIF):
```
data_TaSe2I2
_cell_length_a 15.904
_cell_length_b 4.672
_cell_length_c 10.353
_cell_angle_alpha 90.00
_cell_angle_beta 109.72
_cell_angle_gamma 90.00
_symmetry_space_group_name_H-M 'C 1 2/m 1'
_symmetry_Int_Tables_number 12
_symmetry_space_group_name_Hall '-C 2y'
loop_
_atom_site_label
_atom_site_type_symbol
_atom_site_fract_x
_atom_site_fract_y
_atom_site_fract_z
Ta1 Ta 0.223 0.000 0.404
Se1 Se 0.127 0.000 0.146
Se2 Se 0.128 0.500 0.398
I1 I 0.142 0.500 0.021
I2 I 0.169 0.000 0.642
```

No. 11
A relaxed BeAlFe2 crystal, computed with PBE-GGA.

Values from the calculation:
Magnetic moment ... 3.348 μB per formula unit
Energy relative to the elements ... -0.021 eV per atom
ρ ... 5.5 g cm⁻³

Structure (CIF):
```
data_BeAlFe2
_cell_length_a 2.5827
_cell_length_b 2.5827
_cell_length_c 23.3187
_cell_angle_alpha 90.00
_cell_angle_beta 90.00
_cell_angle_gamma 120.00
_symmetry_space_group_name_H-M 'R -3 m'
_symmetry_Int_Tables_number 166
_symmetry_space_group_name_Hall '-R 3 2"'
loop_
_atom_site_label
_atom_site_type_symbol
_atom_site_fract_x
_atom_site_fract_y
_atom_site_fract_z
Be1 Be 0.0000 0.0000 0.0000
Al1 Al 0.0000 0.0000 0.5000
Fe1 Fe 0.0000 0.0000 0.2552
```

No. 12
A relaxed Ga2Ni4Ir crystal, computed with PBE-GGA.

Values from the calculation:
Magnetic moment ... 0.729 μB per formula unit
Energy relative to the elements ... -0.060 eV per atom
ρ ... 10.7 g cm⁻³

Structure (CIF):
```
data_Ga2Ni4Ir
_cell_length_a 8.407
_cell_length_b 4.840
_cell_length_c 8.681
_cell_angle_alpha 90.00
_cell_angle_beta 90.00
_cell_angle_gamma 90.00
_symmetry_space_group_name_H-M 'C m c e'
_symmetry_Int_Tables_number 64
_symmetry_space_group_name_Hall '-C 2ac 2'
loop_
_atom_site_label
_atom_site_type_symbol
_atom_site_fract_x
_atom_site_fract_y
_atom_site_fract_z
Ga1 Ga 0.176 0.000 0.000
Ni1 Ni 0.000 0.080 0.214
Ni2 Ni 0.250 0.196 0.750
Ir1 Ir 0.000 0.000 0.500
```

Question: What is the ρ in the eighth record?
Answer: 7.9 g cm⁻³